1.
Entry from Alexandria: a relaxed structure of KHfPb2 (PBE).

Output
total moment: 0.000 Bohr magnetons per cell
formation enthalpy at 0 K: 0.35 eV/atom
space group: Fm-3m, No. 225

Cell and atoms, written as POSCAR:
```
KHfPb2
1.0
0.0000 3.8460 3.8460
3.8460 0.0000 3.8460
3.8460 3.8460 0.0000
K Hf Pb
1 1 2
Direct
0.0000 0.0000 0.0000 K
0.5000 0.5000 0.5000 Hf
0.2500 0.2500 0.2500 Pb
0.7500 0.7500 0.7500 Pb
```

2.
Entry from Alexandria: a relaxed structure of BaCdH6Pd2 (PBE).

Output
total moment: 0.000 Bohr magnetons per cell
total energy: -3.55 eV per atom
space group: C2/c, No. 15

Cell and atoms, written as POSCAR:
```
BaCdH6Pd2
1.0
3.8000 -5.8474 0.0000
3.8000 5.8474 0.0000
-1.0920 0.0000 5.3954
Ba Cd H Pd
2 2 12 4
Direct
0.1568 0.8432 0.7500 Ba
0.8432 0.1568 0.2500 Ba
0.3303 0.6697 0.2500 Cd
0.6697 0.3303 0.7500 Cd
0.0116 0.6131 0.2505 H
0.1797 0.2066 0.0287 H
0.2066 0.1797 0.5287 H
0.3466 0.5450 0.5753 H
0.3869 0.9884 0.2495 H
0.4550 0.6534 0.9247 H
0.5450 0.3466 0.0753 H
0.6131 0.0116 0.7505 H
0.6534 0.4550 0.4247 H
0.7934 0.8203 0.4713 H
0.8203 0.7934 0.9713 H
0.9884 0.3869 0.7495 H
0.2533 0.3814 0.7963 Pd
0.3814 0.2533 0.2963 Pd
0.6186 0.7467 0.7037 Pd
0.7467 0.6186 0.2037 Pd
```